No. 1
{
  "formula": "Pr3Y3Te2Ir",
  "functional": "GGA-PBE",
  "state": "relaxed",
  "e_above_lowest_polymorph_mev_per_atom": 126.1,
  "space_group": "P-62m (189)",
  "crystal_system": "hexagonal",
  "lattice_angstrom": [[8.633, 0.000, 0.000], [-4.317, 7.477, 0.000], [0.000, 0.000, 3.977]],
  "species": ["Pr", "Pr", "Pr", "Y", "Y", "Y", "Te", "Te", "Ir"],
  "frac_coords": [[0.000, 0.753, 0.000], [0.247, 0.247, 0.000], [0.753, 0.000, 0.000], [0.000, 0.404, 0.500], [0.404, 0.000, 0.500], [0.596, 0.596, 0.500], [0.333, 0.667, 0.000], [0.667, 0.333, 0.000], [0.000, 0.000, 0.500]]
}


No. 2
{
  "formula": "MgCuBi",
  "functional": "GGA-PBE",
  "state": "relaxed",
  "space_group": "Pnma (62)",
  "crystal_system": "orthorhombic",
  "total_energy_ev_per_atom": -3.05,
  "lattice_angstrom": [[7.324, 0.000, 0.000], [0.000, 3.328, 0.000], [0.000, 0.000, 11.008]],
  "species": ["Mg", "Mg", "Mg", "Mg", "Cu", "Cu", "Cu", "Cu", "Bi", "Bi", "Bi", "Bi"],
  "frac_coords": [[0.241, 0.250, 0.123], [0.259, 0.750, 0.623], [0.741, 0.250, 0.377], [0.759, 0.750, 0.877], [0.102, 0.250, 0.453], [0.398, 0.750, 0.953], [0.602, 0.250, 0.047], [0.898, 0.750, 0.547], [0.125, 0.250, 0.843], [0.375, 0.750, 0.343], [0.625, 0.250, 0.657], [0.875, 0.750, 0.157]]
}


No. 3
{
  "formula": "KSmF4",
  "functional": "GGA-PBE",
  "state": "relaxed",
  "space_group": "Pnma (62)",
  "crystal_system": "orthorhombic",
  "total_energy_ev_per_atom": -5.90,
  "lattice_angstrom": [[6.084, 0.000, 0.000], [0.000, 3.631, 0.000], [0.000, 0.000, 15.041]],
  "species": ["K", "K", "K", "K", "Sm", "Sm", "Sm", "Sm", "F", "F", "F", "F", "F", "F", "F", "F", "F", "F", "F", "F", "F", "F", "F", "F"],
  "frac_coords": [[0.227, 0.250, 0.202], [0.273, 0.750, 0.702], [0.727, 0.250, 0.298], [0.773, 0.750, 0.798], [0.249, 0.750, 0.439], [0.251, 0.250, 0.939], [0.749, 0.750, 0.061], [0.751, 0.250, 0.561], [0.006, 0.250, 0.060], [0.086, 0.250, 0.805], [0.104, 0.250, 0.365], [0.139, 0.250, 0.540], [0.361, 0.750, 0.040], [0.396, 0.750, 0.865], [0.414, 0.750, 0.305], [0.494, 0.750, 0.560], [0.506, 0.250, 0.440], [0.586, 0.250, 0.695], [0.604, 0.250, 0.135], [0.639, 0.250, 0.960], [0.861, 0.750, 0.460], [0.896, 0.750, 0.635], [0.914, 0.750, 0.195], [0.994, 0.750, 0.940]]
}